(1)
Density functional theory data (PBE-GGA) for an optimized crystal structure of Nd6PSe5.

a b c (Å): 7.3155 7.3155 7.3330
angles (deg): 99.51 99.51 120.07
Sites, in units of the cell vectors:
Nd 0.0791 0.3955 0.7380
Nd 0.2373 0.2373 0.2620
Nd 0.3955 0.0791 0.7380
Nd 0.6045 0.9209 0.2620
Nd 0.7627 0.7627 0.7380
Nd 0.9209 0.6045 0.2620
P 0.0000 0.0000 0.5000
Se 0.1701 0.8299 0.0000
Se 0.3335 0.6665 0.5000
Se 0.5000 0.5000 0.0000
Se 0.6665 0.3335 0.5000
Se 0.8299 0.1701 0.0000

Energy relative to the elements, uncorrected   -1.84 eV/atom
Total DFT energy (no corrections)   -6.12 eV per atom

=====

(2)
Density functional theory data (PBE-GGA) for an optimized crystal structure of Nd5P4Se.

a b c (Å): 11.0909 11.0909 11.0909
angles (deg): 158.30 149.09 38.08
Sites, in units of the cell vectors:
Nd 0.0000 0.0000 0.0000
Nd 0.1995 0.1995 0.0000
Nd 0.3932 0.3932 0.0000
Nd 0.6068 0.6068 0.0000
Nd 0.8005 0.8005 0.0000
P 0.0991 0.5991 0.5000
P 0.2993 0.7993 0.5000
P 0.7007 0.2007 0.5000
P 0.9009 0.4009 0.5000
Se 0.5000 0.0000 0.5000

Energy relative to the elements, uncorrected   -1.65 eV/atom
Total DFT energy (no corrections)   -6.55 eV per atom

=====

(3)
Density functional theory data (PBE-GGA) for an optimized crystal structure of Nd2PSe.

a b c (Å): 4.1515 7.2004 7.2646
angles (deg): 90.00 90.00 90.00
Sites, in units of the cell vectors:
Nd 0.2500 0.0029 0.2333
Nd 0.2500 0.4971 0.2333
Nd 0.7500 0.5029 0.7667
Nd 0.7500 0.9971 0.7667
P 0.2500 0.7500 0.9156
P 0.7500 0.2500 0.0844
Se 0.2500 0.2500 0.5800
Se 0.7500 0.7500 0.4200

Energy relative to the elements, uncorrected   -1.62 eV/atom
Excess energy over the best structure of this formula in the dataset   3.71 kcal/mol of atoms
Total DFT energy (no corrections)   -6.22 eV per atom

=====

(4)
Density functional theory data (PBE-GGA) for an optimized crystal structure of NdPSe4.

a b c (Å): 7.8576 7.8576 7.8576
angles (deg): 103.75 103.75 121.64
Sites, in units of the cell vectors:
Nd 0.3750 0.6250 0.7500
Nd 0.6250 0.3750 0.2500
P 0.1250 0.8750 0.2500
P 0.8750 0.1250 0.7500
Se 0.1139 0.6865 0.4274
Se 0.2410 0.3135 0.9274
Se 0.3135 0.2410 0.4274
Se 0.3135 0.8861 0.0726
Se 0.6865 0.1139 0.9274
Se 0.6865 0.7590 0.5726
Se 0.7590 0.6865 0.0726
Se 0.8861 0.3135 0.5726

Energy relative to the elements, uncorrected   -0.73 eV/atom
Total DFT energy (no corrections)   -4.75 eV per atom

=====

(5)
Density functional theory data (PBE-GGA) for an optimized crystal structure of Nd6Si2PSe3.

a b c (Å): 9.5224 9.5224 8.5356
angles (deg): 103.43 103.43 25.70
Sites, in units of the cell vectors:
Nd 0.0035 0.0035 0.2403
Nd 0.3313 0.3313 0.4229
Nd 0.3369 0.3369 0.9100
Nd 0.6631 0.6631 0.0900
Nd 0.6687 0.6687 0.5771
Nd 0.9965 0.9965 0.7597
Si 0.1661 0.1661 0.3323
Si 0.8339 0.8339 0.6677
P 0.5000 0.5000 0.0000
Se 0.1661 0.1661 0.8342
Se 0.5000 0.5000 0.5000
Se 0.8339 0.8339 0.1658

Energy relative to the elements, uncorrected   -1.47 eV/atom
Total DFT energy (no corrections)   -6.08 eV per atom

=====

(6)
Density functional theory data (PBE-GGA) for an optimized crystal structure of NdSmPSe.

a b c (Å): 4.0868 4.0868 21.5960
angles (deg): 90.00 90.00 120.00
Sites, in units of the cell vectors:
Nd 0.0000 0.0000 0.0000
Nd 0.3333 0.6667 0.6667
Nd 0.6667 0.3333 0.3333
Sm 0.0000 0.0000 0.8162
Sm 0.3333 0.6667 0.4828
Sm 0.6667 0.3333 0.1495
P 0.0000 0.0000 0.4105
P 0.3333 0.6667 0.0772
P 0.6667 0.3333 0.7439
Se 0.0000 0.0000 0.2391
Se 0.3333 0.6667 0.9058
Se 0.6667 0.3333 0.5724

Energy relative to the elements, uncorrected   -1.72 eV/atom
Total DFT energy (no corrections)   -6.31 eV per atom

=====

(7)
Density functional theory data (PBE-GGA) for an optimized crystal structure of Nd6SnP2Se3.

a b c (Å): 9.5635 9.5635 8.5974
angles (deg): 103.21 103.21 25.66
Sites, in units of the cell vectors:
Nd 0.0055 0.0055 0.2601
Nd 0.3281 0.3281 0.4270
Nd 0.3298 0.3298 0.8995
Nd 0.6702 0.6702 0.1005
Nd 0.6719 0.6719 0.5730
Nd 0.9945 0.9945 0.7399
Sn 0.5000 0.5000 0.0000
P 0.1684 0.1684 0.3362
P 0.8316 0.8316 0.6638
Se 0.1650 0.1650 0.8318
Se 0.5000 0.5000 0.5000
Se 0.8350 0.8350 0.1682

Energy relative to the elements, uncorrected   -1.59 eV/atom
Total DFT energy (no corrections)   -6.08 eV per atom

=====

(8)
Density functional theory data (PBE-GGA) for an optimized crystal structure of Nd4TeP2Se.

a b c (Å): 6.0482 6.0482 12.0931
angles (deg): 90.00 90.00 90.00
Sites, in units of the cell vectors:
Nd 0.0000 0.0000 0.2346
Nd 0.0000 0.0000 0.7654
Nd 0.0000 0.5000 0.5114
Nd 0.0000 0.5000 0.9886
Nd 0.5000 0.0000 0.0114
Nd 0.5000 0.0000 0.4886
Nd 0.5000 0.5000 0.2653
Nd 0.5000 0.5000 0.7346
Te 0.0000 0.0000 0.5000
Te 0.5000 0.5000 0.0000
P 0.0000 0.0000 0.0000
P 0.0000 0.5000 0.7500
P 0.5000 0.0000 0.2500
P 0.5000 0.5000 0.5000
Se 0.0000 0.5000 0.2500
Se 0.5000 0.0000 0.7500

Energy relative to the elements, uncorrected   -1.61 eV/atom
Total DFT energy (no corrections)   -6.18 eV per atom

=====

(9)
Density functional theory data (PBE-GGA) for an optimized crystal structure of Nd6TeP2Se3.

a b c (Å): 9.5250 9.5250 8.5895
angles (deg): 102.74 102.74 25.67
Sites, in units of the cell vectors:
Nd 0.0108 0.0108 0.2727
Nd 0.3249 0.3249 0.8894
Nd 0.3279 0.3279 0.4264
Nd 0.6721 0.6721 0.5736
Nd 0.6751 0.6751 0.1106
Nd 0.9892 0.9892 0.7273
Te 0.5000 0.5000 0.0000
P 0.1685 0.1685 0.3364
P 0.8315 0.8315 0.6636
Se 0.1614 0.1614 0.8357
Se 0.5000 0.5000 0.5000
Se 0.8386 0.8386 0.1643

Energy relative to the elements, uncorrected   -1.73 eV/atom
Total DFT energy (no corrections)   -6.14 eV per atom

=====

(10)
Density functional theory data (PBE-GGA) for an optimized crystal structure of Nd6Te3PSe2.

a b c (Å): 7.4753 7.4753 7.6799
angles (deg): 99.31 99.31 119.98
Sites, in units of the cell vectors:
Nd 0.0716 0.3900 0.2156
Nd 0.2450 0.2450 0.7820
Nd 0.3900 0.0716 0.2156
Nd 0.6100 0.9284 0.7844
Nd 0.7550 0.7550 0.2180
Nd 0.9284 0.6100 0.7844
Te 0.1703 0.8297 0.5000
Te 0.5000 0.5000 0.5000
Te 0.8297 0.1703 0.5000
P 0.0000 0.0000 0.0000
Se 0.3341 0.6659 0.0000
Se 0.6659 0.3341 0.0000

Energy relative to the elements, uncorrected   -1.64 eV/atom
Total DFT energy (no corrections)   -5.84 eV per atom

=====

(11)
Density functional theory data (PBE-GGA) for an optimized crystal structure of Nd8Te3PSe3.

a b c (Å): 8.7569 8.7569 8.7569
angles (deg): 58.81 58.81 58.81
Sites, in units of the cell vectors:
Nd 0.2395 0.2395 0.2395
Nd 0.2533 0.7320 0.7320
Nd 0.2680 0.2680 0.7467
Nd 0.2680 0.7467 0.2680
Nd 0.7320 0.2533 0.7320
Nd 0.7320 0.7320 0.2533
Nd 0.7467 0.2680 0.2680
Nd 0.7605 0.7605 0.7605
Te 0.0000 0.5000 0.5000
Te 0.5000 0.0000 0.5000
Te 0.5000 0.5000 0.0000
P 0.5000 0.5000 0.5000
Se 0.0000 0.0000 0.5000
Se 0.0000 0.5000 0.0000
Se 0.5000 0.0000 0.0000

Energy relative to the elements, uncorrected   -1.52 eV/atom
Total DFT energy (no corrections)   -5.75 eV per atom

=====

(12)
Density functional theory data (PBE-GGA) for an optimized crystal structure of Nd4Te2PSe.

a b c (Å): 7.4549 4.2872 7.7071
angles (deg): 90.00 108.65 90.00
Sites, in units of the cell vectors:
Nd 0.2271 0.0000 0.2132
Nd 0.2494 0.5000 0.7835
Nd 0.7506 0.5000 0.2165
Nd 0.7729 0.0000 0.7868
Te 0.0000 0.0000 0.5000
Te 0.5000 0.5000 0.5000
P 0.0000 0.5000 0.0000
Se 0.5000 0.0000 0.0000

Energy relative to the elements, uncorrected   -1.63 eV/atom
Total DFT energy (no corrections)   -5.91 eV per atom